This record from the Alexandria database describes an optimized crystal structure of Ca3SmPa3N8. The functional is PBE-GGA.

Cell and atoms, written as POSCAR:
```
Ca3SmPa3N8
1.0
7.125 0.000 0.000
-3.562 6.171 -0.022
0.000 -4.093 5.712
Ca Sm Pa N
3 1 3 8
Direct
0.000 0.000 0.000
0.000 0.500 0.000
0.500 0.500 0.000
0.000 0.000 0.500
0.500 0.000 0.500
0.500 0.500 0.500
0.000 0.500 0.500
0.258 0.515 0.273
0.742 0.485 0.727
0.762 0.524 0.306
0.238 0.476 0.694
0.762 0.044 0.306
0.238 0.956 0.694
0.282 0.044 0.306
0.718 0.956 0.694
```

Output
Formation energy from raw total energies = -1.357 eV per atom